No. 1
Entry from the Alexandria database: a relaxed structure of RbFe3Cl (PBE-GGA).

Output
* formation energy from raw total energies: 1.23 eV/atom

CIF file:
```
data_RbFe3Cl
_chemical_formula_sum 'Rb1 Fe3 Cl1'
_cell_length_a 4.464
_cell_length_b 4.464
_cell_length_c 4.464
_cell_angle_alpha 90.00
_cell_angle_beta 90.00
_cell_angle_gamma 90.00
_symmetry_space_group_name_H-M 'P m -3 m'
_symmetry_Int_Tables_number 221
_symmetry_space_group_name_Hall '-P 4 2 3'
loop_
_atom_site_label
_atom_site_fract_x
_atom_site_fract_y
_atom_site_fract_z
Rb1 0.000 0.000 0.000
Fe1 0.000 0.500 0.500
Cl1 0.500 0.500 0.500
```



No. 2
Entry from the Alexandria database: a relaxed structure of AgRuSe2 (PBE-GGA).

Output
* formation energy from raw total energies: 0.52 eV/atom

CIF file:
```
data_AgRuSe2
_chemical_formula_sum 'Ag2 Ru2 Se4'
_cell_length_a 3.884
_cell_length_b 3.884
_cell_length_c 9.396
_cell_angle_alpha 90.00
_cell_angle_beta 90.00
_cell_angle_gamma 90.00
_symmetry_space_group_name_H-M 'I -4 m 2'
_symmetry_Int_Tables_number 119
_symmetry_space_group_name_Hall 'I -4 -2'
loop_
_atom_site_label
_atom_site_fract_x
_atom_site_fract_y
_atom_site_fract_z
Ag1 0.000 0.000 0.000
Ru1 0.000 0.500 0.750
Se1 0.000 0.000 0.500
Se2 0.000 0.500 0.250
```



No. 3
Entry from the Alexandria database: a relaxed structure of ScUGe (PBE-GGA).

CIF file:
```
data_ScUGe
_chemical_formula_sum 'Sc4 U4 Ge4'
_cell_length_a 3.480
_cell_length_b 3.480
_cell_length_c 21.897
_cell_angle_alpha 90.00
_cell_angle_beta 90.00
_cell_angle_gamma 90.00
_symmetry_space_group_name_H-M 'I 4/m m m'
_symmetry_Int_Tables_number 139
_symmetry_space_group_name_Hall '-I 4 2'
loop_
_atom_site_label
_atom_site_fract_x
_atom_site_fract_y
_atom_site_fract_z
Sc1 0.000 0.000 0.074
U1 0.000 0.000 0.226
Ge1 0.000 0.000 0.359
```



No. 4
Entry from the Alexandria database: a relaxed structure of Sb2TeHRu (PBE-GGA).

CIF file:
```
data_Sb2TeHRu
_chemical_formula_sum 'Sb2 Te1 H1 Ru1'
_cell_length_a 4.341
_cell_length_b 4.341
_cell_length_c 5.082
_cell_angle_alpha 90.00
_cell_angle_beta 90.00
_cell_angle_gamma 90.00
_symmetry_space_group_name_H-M 'P 4/m m m'
_symmetry_Int_Tables_number 123
_symmetry_space_group_name_Hall '-P 4 2'
loop_
_atom_site_label
_atom_site_fract_x
_atom_site_fract_y
_atom_site_fract_z
Sb1 0.000 0.500 0.000
Te1 0.000 0.000 0.500
H1 0.000 0.000 0.000
Ru1 0.500 0.500 0.500
```



Sequential uncorrected energy output: -22.1 -17.0 -22.9 -20.1 eV/f.u.